A plane-wave DFT calculation with PBE was carried out for a relaxed CaCu13 crystal.

```
CaCu13
1.0
7.088 0.000 4.092
2.363 6.682 4.092
0.000 0.000 8.184
Ca Cu
2 26
Direct
0.750 0.750 0.750 Ca
0.250 0.250 0.250 Ca
0.437 0.563 0.203 Cu
0.203 0.797 0.437 Cu
0.797 0.203 0.563 Cu
0.563 0.437 0.797 Cu
0.563 0.797 0.203 Cu
0.797 0.563 0.437 Cu
0.203 0.437 0.563 Cu
0.437 0.203 0.797 Cu
0.797 0.437 0.203 Cu
0.563 0.203 0.437 Cu
0.437 0.797 0.563 Cu
0.203 0.563 0.797 Cu
0.297 0.937 0.063 Cu
0.063 0.703 0.297 Cu
0.937 0.297 0.703 Cu
0.703 0.063 0.937 Cu
0.297 0.703 0.937 Cu
0.063 0.937 0.703 Cu
0.937 0.063 0.297 Cu
0.703 0.297 0.063 Cu
0.297 0.063 0.703 Cu
0.063 0.297 0.937 Cu
0.937 0.703 0.063 Cu
0.703 0.937 0.297 Cu
0.500 0.500 0.500 Cu
0.000 0.000 0.000 Cu
```

Results
Spin magnetization = 0.00 Bohr magnetons per cell
Theoretical density = 7.421 g/cm3
DFT total energy = -3.9654 eV per atom
Fermi-level density of states = 14.160 states/eV per cell